Material: NdDyAl2S6
Method: DFT, PBE
State: optimized geometry

Summary:
Formation energy (no corrections) (eV per atom): -1.460
Crystal system: trigonal
M_tot (μB per formula unit): 0.00
Electronic total energy (eV per atom): -5.6221

POSCAR file:
```
NdDyAl2S6
1.0
-3.866 5.145 -1.631
-2.575 -6.110 0.347
2.257 -0.597 6.265
S Dy Al Nd
6 1 2 1
direct
0.726 0.657 0.159
0.533 0.962 0.661
0.105 0.142 0.661
0.713 0.570 0.661
0.105 0.447 0.159
0.517 0.068 0.160
0.026 0.012 0.024
0.592 0.795 0.374
0.599 0.299 0.884
0.050 0.524 0.560
```


Material: NdDyScAl
Method: DFT, PBE
State: optimized geometry

Summary:
Crystal system: cubic
M_tot (μB per formula unit): 0.88
Electronic total energy (eV per atom): -4.9599

POSCAR file:
```
NdDyScAl
1.0
-5.109 1.304 0.514
-2.486 -0.797 4.610
-1.389 4.133 3.009
Al Nd Sc Dy
1 1 1 1
direct
0.500 0.500 0.500
0.750 0.750 0.750
0.000 0.000 0.000
0.250 0.250 0.250
```


Material: NdDyAl2Si
Method: DFT, PBE
State: optimized geometry

Summary:
Formation energy (no corrections) (eV per atom): -0.442
Crystal system: orthorhombic
M_tot (μB per formula unit): 0.00
Electronic total energy (eV per atom): -4.8980

POSCAR file:
```
NdDyAl2Si
1.0
-3.921 -0.594 -1.772
-0.745 -3.338 2.769
-0.074 5.845 3.530
Nd Al Si Dy
1 2 1 1
direct
0.439 0.439 0.879
0.689 0.189 0.378
0.044 0.044 0.088
0.842 0.842 0.685
0.197 0.697 0.394
```


Material: NdSmDyAl
Method: DFT, PBE
State: optimized geometry

Summary:
Crystal system: cubic
M_tot (μB per formula unit): 0.00
Electronic total energy (eV per atom): -4.5120

POSCAR file:
```
NdSmDyAl
1.0
-0.696 -2.719 4.657
4.047 -0.271 3.621
-0.372 2.708 4.700
Sm Dy Al Nd
1 1 1 1
direct
0.000 0.000 0.000
0.750 0.750 0.750
0.250 0.250 0.250
0.500 0.500 0.500
```


Material: NdDyAlTl
Method: DFT, PBE
State: optimized geometry

Summary:
Crystal system: cubic
M_tot (μB per formula unit): 0.00
Distance to the lowest polymorph of the same formula (meV per atom): 26.5
Electronic total energy (eV per atom): -4.2085

POSCAR file:
```
NdDyAlTl
1.0
5.330 0.000 0.000
2.665 4.616 0.000
2.665 1.539 4.352
Dy Tl Al Nd
1 1 1 1
direct
0.250 0.250 0.250
0.000 0.000 0.000
0.500 0.500 0.500
0.750 0.750 0.750
```


Material: NdDyAlTl
Method: DFT, PBE
State: optimized geometry

Summary:
Crystal system: tetragonal
M_tot (μB per formula unit): 0.00
Distance to the lowest polymorph of the same formula (meV per atom): 0.0
Electronic total energy (eV per atom): -4.2350

POSCAR file:
```
NdDyAlTl
1.0
3.715 0.000 0.000
0.000 3.715 0.000
0.000 0.000 7.725
Dy Al Nd Tl
1 1 1 1
direct
0.500 0.500 0.594
0.000 0.000 0.368
0.500 0.500 0.121
0.000 0.000 0.844
```


Material: NdDyTmAl
Method: DFT, PBE
State: optimized geometry

Summary:
Crystal system: tetragonal
M_tot (μB per formula unit): 0.00
Distance to the lowest polymorph of the same formula (meV per atom): 0.0
Electronic total energy (eV per atom): -4.5926

POSCAR file:
```
NdDyTmAl
1.0
-3.498 -0.258 -0.312
-0.265 -0.597 3.460
-0.788 8.906 1.477
Nd Dy Al Tm
1 1 1 1
direct
0.000 0.000 0.075
0.500 0.500 0.780
0.000 0.000 0.568
0.500 0.500 0.362
```


Material: NdDyTmAl
Method: DFT, PBE
State: optimized geometry

Summary:
Crystal system: cubic
M_tot (μB per formula unit): 0.00
Distance to the lowest polymorph of the same formula (meV per atom): 128.9
Electronic total energy (eV per atom): -4.4637

POSCAR file:
```
NdDyTmAl
1.0
5.380 0.000 0.000
2.690 4.660 0.000
2.690 1.553 4.393
Dy Tm Nd Al
1 1 1 1
direct
0.000 0.000 0.000
0.750 0.750 0.750
0.500 0.500 0.500
0.250 0.250 0.250
```


Material: NdDyYAl
Method: DFT, PBE
State: optimized geometry

Summary:
Crystal system: cubic
M_tot (μB per formula unit): 0.73
Distance to the lowest polymorph of the same formula (meV per atom): 145.6
Electronic total energy (eV per atom): -4.9485

POSCAR file:
```
NdDyYAl
1.0
5.415 0.000 0.000
2.708 4.690 0.000
2.708 1.563 4.421
Y Dy Al Nd
1 1 1 1
direct
0.000 0.000 0.000
0.250 0.250 0.250
0.750 0.750 0.750
0.500 0.500 0.500
```


Material: NdDyYAl
Method: DFT, PBE
State: optimized geometry

Summary:
Crystal system: tetragonal
M_tot (μB per formula unit): 0.00
Distance to the lowest polymorph of the same formula (meV per atom): 0.0
Electronic total energy (eV per atom): -5.0942

POSCAR file:
```
NdDyYAl
1.0
-1.436 -3.097 -0.954
0.495 -1.240 3.284
-8.236 3.078 2.405
Nd Y Dy Al
1 1 1 1
direct
0.000 0.000 0.073
0.500 0.500 0.779
0.500 0.500 0.362
0.000 0.000 0.571
```


Material: NdDyAl2Zn2
Method: DFT, PBE
State: optimized geometry

Summary:
Crystal system: trigonal
M_tot (μB per formula unit): 0.00
Electronic total energy (eV per atom): -3.6818

POSCAR file:
```
NdDyAl2Zn2
1.0
-0.247 -3.911 2.244
3.715 2.549 0.307
-2.894 3.517 5.811
Nd Dy Zn Al
1 1 2 2
direct
0.000 0.000 0.000
0.000 0.000 0.500
0.667 0.333 0.724
0.333 0.667 0.276
0.667 0.333 0.269
0.333 0.667 0.731
```


Material: NdDyAlZn
Method: DFT, PBE
State: optimized geometry

Summary:
Crystal system: tetragonal
M_tot (μB per formula unit): 0.00
Distance to the lowest polymorph of the same formula (meV per atom): 0.0
Electronic total energy (eV per atom): -3.9522

POSCAR file:
```
NdDyAlZn
1.0
3.623 0.000 0.000
0.000 3.623 0.000
0.000 0.000 7.413
Dy Nd Al Zn
1 1 1 1
direct
0.000 0.000 0.364
0.000 0.000 0.855
0.500 0.500 0.121
0.500 0.500 0.588
```